Record 1
# LiSi4Ni6

An optimized crystal structure of LiSi4Ni6 (PBE, Alexandria via LeMat-Bulk).

```
LiSi4Ni6
1.0
6.713 0.000 0.000
-3.357 5.814 0.000
0.000 0.000 3.436
Li Si Ni
1 4 6
Cartesian
0.000 0.000 0.000 Li
0.000 3.876 0.000 Si
1.865 1.077 1.718 Si
4.848 1.077 1.718 Si
3.357 3.660 1.718 Si
0.000 2.348 1.718 Ni
-1.323 4.640 1.718 Ni
3.357 0.410 0.000 Ni
2.033 2.702 0.000 Ni
1.323 4.640 1.718 Ni
4.680 2.702 0.000 Ni
```

Values from the calculation:
* space group: P-6m2
* density of states at the Fermi level: 2.9 states/eV per cell
* raw formation energy: -5.628 eV per formula unit

Record 2
# Dy2GaNi

An optimized crystal structure of Dy2GaNi (PBE, Alexandria via LeMat-Bulk).

```
Dy2GaNi
1.0
1.676 0.968 9.630
-1.676 0.968 9.630
0.000 -1.935 9.630
Dy Ga Ni
2 1 1
Cartesian
0.000 0.000 2.524 Dy
0.000 0.000 26.365 Dy
0.000 0.000 14.444 Ga
0.000 0.000 0.000 Ni
```

Values from the calculation:
* ΔE_f: 17.8 kJ per mole of atoms
* space group: R-3m
* density of states at the Fermi level: 2.1 states/eV per cell

Record 3
# TbCeZnSn

An optimized crystal structure of TbCeZnSn (PBE, Alexandria via LeMat-Bulk).

```
TbCeZnSn
1.0
0.000 3.722 3.722
3.722 0.000 3.722
3.722 3.722 0.000
Tb Ce Zn Sn
1 1 1 1
Cartesian
0.000 0.000 0.000 Tb
3.722 3.722 3.722 Ce
5.583 5.583 5.583 Zn
1.861 1.861 1.861 Sn
```

Values from the calculation:
* ΔE_f: -42.8 kJ per mole of atoms
* space group: F-43m
* density of states at the Fermi level: 7.9 states/eV per cell